Entry 1:
{"formula": "Rb2DyO4", "functional": "GGA-PBE", "state": "optimized geometry", "sg": "Fd-3m (227)", "lattice_angstrom": [[0.000, 5.363, 5.363], [5.363, 0.000, 5.363], [5.363, 5.363, 0.000]], "species": ["Rb", "Rb", "Rb", "Rb", "Dy", "Dy", "O", "O", "O", "O", "O", "O", "O", "O"], "fractional_positions": [[0.000, 0.000, 0.000], [0.000, 0.000, 0.500], [0.000, 0.500, 0.000], [0.500, 0.000, 0.000], [0.375, 0.375, 0.375], [0.625, 0.625, 0.625], [0.260, 0.260, 0.260], [0.260, 0.260, 0.719], [0.260, 0.719, 0.260], [0.281, 0.740, 0.740], [0.719, 0.260, 0.260], [0.740, 0.281, 0.740], [0.740, 0.740, 0.281], [0.740, 0.740, 0.740]]}

Entry 2:
{"formula": "RbDyS2O8", "functional": "GGA-PBE", "state": "optimized geometry", "sg": "Pnna (52)", "lattice_angstrom": [[9.374, 0.000, 0.000], [0.000, 12.880, 0.000], [0.000, 0.000, 5.277]], "species": ["Rb", "Rb", "Rb", "Rb", "Dy", "Dy", "Dy", "Dy", "S", "S", "S", "S", "S", "S", "S", "S", "O", "O", "O", "O", "O", "O", "O", "O", "O", "O", "O", "O", "O", "O", "O", "O", "O", "O", "O", "O", "O", "O", "O", "O", "O", "O", "O", "O", "O", "O", "O", "O"], "fractional_positions": [[0.078, 0.250, 0.250], [0.422, 0.750, 0.250], [0.578, 0.250, 0.750], [0.922, 0.750, 0.750], [0.250, 0.000, 0.673], [0.250, 0.500, 0.827], [0.750, 0.000, 0.327], [0.750, 0.500, 0.173], [0.086, 0.587, 0.264], [0.086, 0.913, 0.236], [0.414, 0.087, 0.236], [0.414, 0.413, 0.264], [0.586, 0.587, 0.736], [0.586, 0.913, 0.764], [0.914, 0.087, 0.764], [0.914, 0.413, 0.736], [0.067, 0.117, 0.782], [0.067, 0.383, 0.718], [0.100, 0.024, 0.310], [0.100, 0.476, 0.190], [0.154, 0.606, 0.514], [0.154, 0.894, 0.986], [0.158, 0.648, 0.061], [0.158, 0.852, 0.439], [0.342, 0.148, 0.439], [0.342, 0.352, 0.061], [0.346, 0.106, 0.986], [0.346, 0.394, 0.514], [0.400, 0.524, 0.190], [0.400, 0.976, 0.310], [0.433, 0.617, 0.718], [0.433, 0.883, 0.782], [0.567, 0.117, 0.218], [0.567, 0.383, 0.282], [0.600, 0.024, 0.690], [0.600, 0.476, 0.810], [0.654, 0.606, 0.486], [0.654, 0.894, 0.014], [0.658, 0.648, 0.939], [0.658, 0.852, 0.561], [0.842, 0.148, 0.561], [0.842, 0.352, 0.939], [0.846, 0.106, 0.014], [0.846, 0.394, 0.486], [0.900, 0.524, 0.810], [0.900, 0.976, 0.690], [0.933, 0.617, 0.282], [0.933, 0.883, 0.218]]}

Entry 3:
{"formula": "RbDySe2O8", "functional": "GGA-PBE", "state": "optimized geometry", "sg": "P-3m1 (164)", "lattice_angstrom": [[5.667, 0.000, 0.000], [-2.833, 4.908, 0.000], [0.000, 0.000, 7.540]], "species": ["Rb", "Dy", "Se", "Se", "O", "O", "O", "O", "O", "O", "O", "O"], "fractional_positions": [[0.000, 0.000, 0.000], [0.000, 0.000, 0.500], [0.333, 0.667, 0.236], [0.667, 0.333, 0.764], [0.175, 0.350, 0.316], [0.175, 0.825, 0.316], [0.333, 0.667, 0.018], [0.350, 0.175, 0.684], [0.650, 0.825, 0.316], [0.667, 0.333, 0.982], [0.825, 0.175, 0.684], [0.825, 0.650, 0.684]]}

| no. | E_tot (eV per atom) |
| --- | --- |
| 1 | -5.049 |
| 2 | -6.533 |
| 3 | -5.877 |